Zr3B2Sb: relaxed, GGA-PBE.

Summary:
The calculation puts the total energy at -7.781 eV per atom.

Unit cell a=3.5059 b=3.5059 c=19.9838 alpha=90.00 beta=90.00 gamma=120.00
Space group P6_3/mmc (No. 194)
Inequivalent atoms, fractional coordinates:
Zr (0.0000, 0.0000, 0.0000) (multiplicity 2)
Zr (0.3333, 0.6667, 0.1356) (multiplicity 4)
B (0.3333, 0.6667, 0.5731) (multiplicity 4)
Sb (0.0000, 0.0000, 0.2500) (multiplicity 2)

GdAl3N: relaxed, GGA-PBE.

Summary:
The calculation puts the total energy at -4.786 eV per atom.

Unit cell a=4.365 b=4.365 c=4.365 alpha=90.00 beta=90.00 gamma=90.00
Space group Pm-3m (No. 221)
Inequivalent atoms, fractional coordinates:
Gd (0.000, 0.000, 0.000) (multiplicity 1)
Al (0.000, 0.500, 0.500) (multiplicity 3)
N (0.500, 0.500, 0.500) (multiplicity 1)

Which formula does entry 2 have? GdAl3N